Here is an optimized crystal structure of InGa2 from Alexandria via LeMat-Bulk. Energies are from GGA-PBE.

Properties
- Spin magnetization: 0.00 μB per formula unit
- Crystal system: monoclinic
- E_form: 0.082 eV/atom
- Total DFT energy (no corrections): -8.54 eV per cell
- DOS(E_F): 0.3581 states/eV per atom

```
InGa2
1.0
3.705 -2.103 0.000
3.705 2.103 0.000
-2.455 0.000 4.593
In Ga
1 2
Cartesian
0.000 0.000 0.000
-0.001 0.000 2.929
4.955 0.000 1.664
```

Here is an optimized crystal structure of InGa from Alexandria via LeMat-Bulk. Energies are from GGA-PBE.

Properties
- Spin magnetization: 0.00 μB per formula unit
- Crystal system: hexagonal
- E_form: 0.181 eV/atom
- Total DFT energy (no corrections): -10.81 eV per cell
- DOS(E_F): 0.3680 states/eV per atom

```
InGa
1.0
4.806 0.000 0.000
-2.403 4.162 0.000
0.000 0.000 5.842
In Ga
2 2
Cartesian
0.000 2.775 1.460
2.403 1.387 4.381
0.000 2.775 4.381
2.403 1.387 1.460
```

Here is an optimized crystal structure of InGa3 from Alexandria via LeMat-Bulk. Energies are from GGA-PBE.

Properties
- Spin magnetization: 0.00 μB per formula unit
- Crystal system: orthorhombic
- E_form: 0.049 eV/atom
- Total DFT energy (no corrections): -23.25 eV per cell
- DOS(E_F): 0.3526 states/eV per atom

```
InGa3
1.0
5.159 0.000 0.000
0.000 6.351 0.000
0.000 0.000 5.141
In Ga
2 6
Cartesian
1.290 1.588 0.903
3.869 4.763 4.238
1.290 3.217 3.480
1.290 4.763 1.020
1.290 6.310 3.480
3.869 0.041 1.662
3.869 1.588 4.121
3.869 3.134 1.662
```

Here is an optimized crystal structure of InGa4 from Alexandria via LeMat-Bulk. Energies are from GGA-PBE.

Properties
- Spin magnetization: 0.00 μB per formula unit
- Crystal system: orthorhombic
- E_form: 0.030 eV/atom
- Total DFT energy (no corrections): -14.70 eV per cell
- DOS(E_F): 0.2726 states/eV per atom

```
InGa4
1.0
0.000 2.379 10.682
2.029 0.000 10.682
2.029 2.379 0.000
In Ga
1 4
Cartesian
0.000 0.000 0.000
2.029 2.379 4.344
2.029 2.379 8.325
2.029 2.379 13.038
2.029 2.379 17.020
```

Here is an optimized crystal structure of In2Ga from Alexandria via LeMat-Bulk. Energies are from GGA-PBE.

Properties
- Spin magnetization: 0.00 μB per formula unit
- Crystal system: monoclinic
- E_form: 0.054 eV/atom
- Total DFT energy (no corrections): -8.34 eV per cell
- DOS(E_F): 0.3514 states/eV per atom

```
In2Ga
1.0
2.798 -2.743 0.000
2.798 2.743 0.000
-2.101 0.000 4.849
In Ga
2 1
Cartesian
0.261 0.000 1.560
3.233 0.000 3.290
2.798 0.000 0.000
```

Here is an optimized crystal structure of InGa3 from Alexandria via LeMat-Bulk. Energies are from GGA-PBE.

Properties
- Spin magnetization: 0.00 μB per formula unit
- Crystal system: orthorhombic
- E_form: 0.049 eV/atom
- Total DFT energy (no corrections): -11.62 eV per cell
- DOS(E_F): 0.2862 states/eV per atom

```
InGa3
1.0
-1.509 5.198 2.701
1.509 -5.198 2.701
1.509 5.198 -2.701
In Ga
1 3
Cartesian
0.000 0.000 0.000
1.509 2.754 0.546
1.509 0.000 2.651
0.000 2.445 3.247
```

Here is an optimized crystal structure of In2Ga3 from Alexandria via LeMat-Bulk. Energies are from GGA-PBE.

Properties
- Spin magnetization: 0.00 μB per formula unit
- Crystal system: trigonal
- E_form: 0.115 eV/atom
- Total DFT energy (no corrections): -27.97 eV per cell
- DOS(E_F): 0.2404 states/eV per atom

```
In2Ga3
1.0
3.929 2.269 4.493
-3.929 2.269 4.493
0.000 -4.537 4.493
In Ga
4 6
Cartesian
0.000 0.000 1.514
0.000 0.000 5.226
0.000 0.000 8.253
0.000 0.000 11.965
-2.788 -0.293 5.616
-1.141 -2.561 7.862
1.648 -2.269 5.616
-1.648 2.269 7.862
1.141 2.561 5.616
2.788 0.293 7.862
```

Here is an optimized crystal structure of InGa from Alexandria via LeMat-Bulk. Energies are from GGA-PBE.

Properties
- Spin magnetization: 0.00 μB per formula unit
- Crystal system: tetragonal
- E_form: 0.232 eV/atom
- Total DFT energy (no corrections): -21.20 eV per cell
- DOS(E_F): 0.6450 states/eV per atom

```
InGa
1.0
7.166 0.000 0.000
0.000 7.166 0.000
0.000 0.000 4.773
In Ga
4 4
Cartesian
1.780 1.780 0.000
1.803 5.363 2.386
5.363 1.803 2.386
5.386 5.386 0.000
0.918 0.918 2.386
2.665 4.501 0.000
4.501 2.665 0.000
6.248 6.248 2.386
```

Here is an optimized crystal structure of InGa4 from Alexandria via LeMat-Bulk. Energies are from GGA-PBE.

Properties
- Spin magnetization: 0.00 μB per formula unit
- Crystal system: cubic
- E_form: 0.586 eV/atom
- Total DFT energy (no corrections): -11.92 eV per cell
- DOS(E_F): 0.8260 states/eV per atom

```
InGa4
1.0
5.303 0.000 0.000
0.000 5.303 0.000
0.000 0.000 5.303
In Ga
1 4
Cartesian
0.000 0.000 0.000
0.000 0.000 2.651
0.000 2.651 0.000
2.651 0.000 0.000
2.651 2.651 2.651
```

Here is an optimized crystal structure of InGa2 from Alexandria via LeMat-Bulk. Energies are from GGA-PBE.

Properties
- Spin magnetization: 0.00 μB per formula unit
- Crystal system: tetragonal
- E_form: 0.035 eV/atom
- Total DFT energy (no corrections): -8.69 eV per cell
- DOS(E_F): 0.3646 states/eV per atom

```
InGa2
1.0
-1.637 1.637 6.037
1.637 -1.637 6.037
1.637 1.637 -6.037
In Ga
1 2
Cartesian
0.000 0.000 0.000
0.000 0.000 3.877
0.000 0.000 8.197
```

Here is an optimized crystal structure of InGa8 from Alexandria via LeMat-Bulk. Energies are from GGA-PBE.

Properties
- Spin magnetization: 0.00 μB per formula unit
- Crystal system: tetragonal
- E_form: 0.164 eV/atom
- Total DFT energy (no corrections): -25.48 eV per cell
- DOS(E_F): 0.5724 states/eV per atom

```
InGa8
1.0
-5.153 5.153 2.025
5.153 -5.153 2.025
5.153 5.153 -2.025
In Ga
1 8
Cartesian
0.000 0.000 0.000
3.742 0.000 0.000
6.563 0.000 0.000
2.012 2.012 0.000
3.140 -3.140 2.025
0.000 3.742 0.000
0.000 6.563 0.000
-3.140 3.140 2.025
3.140 3.140 2.025
```

Here is an optimized crystal structure of InGa2 from Alexandria via LeMat-Bulk. Energies are from GGA-PBE.

Properties
- Spin magnetization: 0.00 μB per formula unit
- Crystal system: monoclinic
- E_form: 0.041 eV/atom
- Total DFT energy (no corrections): -17.34 eV per cell
- DOS(E_F): 0.3672 states/eV per atom

```
InGa2
1.0
5.934 -2.091 0.000
5.934 2.091 0.000
-2.421 0.000 5.403
In Ga
2 4
Cartesian
0.865 0.000 1.504
8.582 0.000 3.899
0.516 0.000 4.433
4.749 0.000 1.288
4.698 0.000 4.115
8.931 0.000 0.970
```

Here is an optimized crystal structure of In3Ga from Alexandria via LeMat-Bulk. Energies are from GGA-PBE.

Properties
- Spin magnetization: 0.00 μB per formula unit
- Crystal system: orthorhombic
- E_form: 0.029 eV/atom
- Total DFT energy (no corrections): -22.25 eV per cell
- DOS(E_F): 0.3162 states/eV per atom

```
In3Ga
1.0
1.640 -6.782 0.000
1.640 6.782 0.000
0.000 0.000 9.073
In Ga
6 2
Cartesian
1.640 6.339 6.804
1.640 1.785 4.975
1.640 1.785 8.634
1.640 -1.785 0.439
1.640 -1.785 4.097
1.640 -6.339 2.268
1.640 3.109 2.268
1.640 -3.109 6.804
```

Here is an optimized crystal structure of In2Ga3 from Alexandria via LeMat-Bulk. Energies are from GGA-PBE.

Properties
- Spin magnetization: 0.00 μB per formula unit
- Crystal system: orthorhombic
- E_form: 0.065 eV/atom
- Total DFT energy (no corrections): -28.46 eV per cell
- DOS(E_F): 0.3047 states/eV per atom

```
In2Ga3
1.0
2.629 -5.098 0.000
2.629 5.098 0.000
0.000 0.000 8.738
In Ga
4 6
Cartesian
2.629 3.563 7.881
2.629 1.534 3.512
2.629 -1.534 5.225
2.629 -3.563 0.857
0.000 0.000 4.369
1.314 1.141 6.553
1.314 -1.141 2.184
2.629 0.000 0.000
3.943 1.141 6.553
3.943 -1.141 2.184
```

Here is an optimized crystal structure of In3Ga from Alexandria via LeMat-Bulk. Energies are from GGA-PBE.

Properties
- Spin magnetization: 0.00 μB per formula unit
- Crystal system: cubic
- E_form: 0.035 eV/atom
- Total DFT energy (no corrections): -11.10 eV per cell
- DOS(E_F): 0.3956 states/eV per atom

```
In3Ga
1.0
0.000 3.709 3.709
3.709 0.000 3.709
3.709 3.709 0.000
In Ga
3 1
Cartesian
0.000 0.000 0.000
1.855 1.855 1.855
5.564 5.564 5.564
3.709 3.709 3.709
```

Here is an optimized crystal structure of InGa4Ir5 from Alexandria via LeMat-Bulk. Energies are from GGA-PBE.

Properties
- Spin magnetization: 0.00 μB per formula unit
- Crystal system: tetragonal
- E_form: -0.340 eV/atom
- Total DFT energy (no corrections): -62.55 eV per cell
- DOS(E_F): 0.3504 states/eV per atom

```
InGa4Ir5
1.0
3.028 0.000 0.000
0.000 3.028 0.000
0.000 0.000 16.263
In Ga Ir
1 4 5
Cartesian
0.000 0.000 0.000
0.000 0.000 3.418
0.000 0.000 6.568
0.000 0.000 9.695
0.000 0.000 12.845
1.514 1.514 1.955
1.514 1.514 5.051
1.514 1.514 8.131
1.514 1.514 11.212
1.514 1.514 14.308
```

Here is an optimized crystal structure of In2GaIr2 from Alexandria via LeMat-Bulk. Energies are from GGA-PBE.

Properties
- Spin magnetization: 0.00 μB per formula unit
- Crystal system: tetragonal
- E_form: -0.027 eV/atom
- Total DFT energy (no corrections): -52.72 eV per cell
- DOS(E_F): 0.2737 states/eV per atom

```
In2GaIr2
1.0
7.614 0.000 0.000
0.000 7.614 0.000
0.000 0.000 3.191
In Ga Ir
4 2 4
Cartesian
1.111 2.696 0.000
2.696 6.503 0.000
4.918 1.111 0.000
6.503 4.918 0.000
0.000 0.000 1.596
3.807 3.807 1.596
1.172 4.979 1.596
2.635 1.172 1.596
4.979 6.442 1.596
6.442 2.635 1.596
```

Here is an optimized crystal structure of InGaIr2 from Alexandria via LeMat-Bulk. Energies are from GGA-PBE.

Properties
- Spin magnetization: 0.00 μB per formula unit
- Crystal system: tetragonal
- E_form: -0.237 eV/atom
- Total DFT energy (no corrections): -24.43 eV per cell
- DOS(E_F): 0.3921 states/eV per atom

```
InGaIr2
1.0
3.032 0.000 0.000
0.000 3.032 0.000
0.000 0.000 6.853
In Ga Ir
1 1 2
Cartesian
0.000 0.000 0.000
0.000 0.000 3.427
1.516 1.516 1.901
1.516 1.516 4.952
```

Here is an optimized crystal structure of InGaIr2 from Alexandria via LeMat-Bulk. Energies are from GGA-PBE.

Properties
- Spin magnetization: 0.00 μB per formula unit
- Crystal system: tetragonal
- E_form: -0.149 eV/atom
- Total DFT energy (no corrections): -24.08 eV per cell
- DOS(E_F): 0.3540 states/eV per atom

```
InGaIr2
1.0
4.257 0.000 0.000
0.000 4.257 0.000
0.000 0.000 3.503
In Ga Ir
1 1 2
Cartesian
0.000 0.000 0.000
2.129 2.129 0.000
0.000 2.129 1.752
2.129 0.000 1.752
```

Here is an optimized crystal structure of InGaIr2 from Alexandria via LeMat-Bulk. Energies are from GGA-PBE.

Properties
- Spin magnetization: 0.00 μB per formula unit
- Crystal system: tetragonal
- E_form: 0.258 eV/atom
- Total DFT energy (no corrections): -44.91 eV per cell
- DOS(E_F): 0.8604 states/eV per atom

```
InGaIr2
1.0
-2.070 2.070 8.723
2.070 -2.070 8.723
2.070 2.070 -8.723
In Ga Ir
2 2 4
Cartesian
0.000 0.000 0.000
0.000 2.070 4.361
2.070 0.000 4.361
0.000 0.000 8.723
1.035 -0.794 6.542
1.276 1.035 2.181
1.035 2.865 -2.181
0.794 1.035 10.903
```

Here is an optimized crystal structure of InGaIr3 from Alexandria via LeMat-Bulk. Energies are from GGA-PBE.

Properties
- Spin magnetization: 0.00 μB per formula unit
- Crystal system: cubic
- E_form: 1.935 eV/atom
- Total DFT energy (no corrections): -22.67 eV per cell
- DOS(E_F): 1.3159 states/eV per atom

```
InGaIr3
1.0
4.864 0.000 0.000
0.000 4.864 0.000
0.000 0.000 4.864
In Ga Ir
1 1 3
Cartesian
0.000 0.000 0.000
2.432 2.432 2.432
0.000 0.000 2.432
0.000 2.432 0.000
2.432 0.000 0.000
```

Here is an optimized crystal structure of In2GaIr2 from Alexandria via LeMat-Bulk. Energies are from GGA-PBE.

Properties
- Spin magnetization: 0.00 μB per formula unit
- Crystal system: orthorhombic
- E_form: -0.187 eV/atom
- Total DFT energy (no corrections): -54.32 eV per cell
- DOS(E_F): 0.6676 states/eV per atom

```
In2GaIr2
1.0
-3.426 5.333 2.544
3.426 -5.333 2.544
3.426 5.333 -2.544
In Ga Ir
4 2 4
Cartesian
1.071 2.053 0.000
4.497 3.280 0.000
-1.071 2.053 2.544
2.355 3.280 2.544
3.426 0.000 1.272
0.000 5.333 1.272
5.501 0.759 0.000
2.075 4.574 0.000
1.351 0.759 2.544
-2.075 4.574 2.544
```

Here is an optimized crystal structure of InGaIr3 from Alexandria via LeMat-Bulk. Energies are from GGA-PBE.

Properties
- Spin magnetization: 0.00 μB per formula unit
- Crystal system: cubic
- E_form: 0.895 eV/atom
- Total DFT energy (no corrections): -27.87 eV per cell
- DOS(E_F): 1.0045 states/eV per atom

```
InGaIr3
1.0
4.561 0.000 0.000
0.000 4.561 0.000
0.000 0.000 4.561
In Ga Ir
1 1 3
Cartesian
0.000 0.000 0.000
2.281 2.281 2.281
0.000 2.281 2.281
2.281 0.000 2.281
2.281 2.281 0.000
```

Here is an optimized crystal structure of In2Ga2Ir3 from Alexandria via LeMat-Bulk. Energies are from GGA-PBE.

Properties
- Spin magnetization: 0.00 μB per formula unit
- Crystal system: triclinic
- E_form: -0.135 eV/atom
- Total DFT energy (no corrections): -39.06 eV per cell
- DOS(E_F): 0.4174 states/eV per atom

```
In2Ga2Ir3
1.0
4.184 0.000 0.000
0.014 5.449 0.000
2.081 0.362 6.185
In Ga Ir
2 2 3
Cartesian
1.050 2.058 1.080
5.229 3.753 5.104
3.130 0.945 4.309
3.149 4.867 1.876
1.041 0.181 3.092
1.059 4.661 0.504
5.220 1.151 5.680
```

Here is an optimized crystal structure of KInGa2Ir from Alexandria via LeMat-Bulk. Energies are from GGA-PBE.

Properties
- Spin magnetization: 0.00 μB per formula unit
- Crystal system: tetragonal
- E_form: -0.217 eV/atom
- Total DFT energy (no corrections): -19.84 eV per cell
- DOS(E_F): 0.6812 states/eV per atom

```
KInGa2Ir
1.0
4.902 0.000 0.000
0.000 4.902 0.000
0.000 0.000 5.274
K In Ga Ir
1 1 2 1
Cartesian
0.000 0.000 0.000
2.451 2.451 0.000
0.000 2.451 2.637
2.451 0.000 2.637
2.451 2.451 2.637
```

Here is an optimized crystal structure of La2InGaIr from Alexandria via LeMat-Bulk. Energies are from GGA-PBE.

Properties
- Spin magnetization: 0.00 μB per formula unit
- Crystal system: tetragonal
- E_form: -0.529 eV/atom
- Total DFT energy (no corrections): -27.13 eV per cell
- DOS(E_F): 0.8303 states/eV per atom

```
La2InGaIr
1.0
5.562 0.000 0.000
0.000 5.562 0.000
0.000 0.000 4.845
La In Ga Ir
2 1 1 1
Cartesian
0.000 2.781 0.000
2.781 0.000 0.000
0.000 0.000 2.422
2.781 2.781 2.422
2.781 2.781 0.000
```

Here is an optimized crystal structure of LiInGaIr from Alexandria via LeMat-Bulk. Energies are from GGA-PBE.

Properties
- Spin magnetization: 0.00 μB per formula unit
- Crystal system: cubic
- E_form: -0.359 eV/atom
- Total DFT energy (no corrections): -17.98 eV per cell
- DOS(E_F): 0.3688 states/eV per atom

```
LiInGaIr
1.0
0.000 3.167 3.167
3.167 0.000 3.167
3.167 3.167 0.000
Li In Ga Ir
1 1 1 1
Cartesian
0.000 0.000 0.000
4.751 4.751 4.751
1.584 1.584 1.584
3.167 3.167 3.167
```